# 1
# GGA-PBE TbScS3, optimized geometry
data_TbScS3
_chemical_formula_sum 'Tb4 Sc4 S12'
_cell_length_a 7.043
_cell_length_b 9.539
_cell_length_c 6.400
_cell_angle_alpha 90.00
_cell_angle_beta 90.00
_cell_angle_gamma 90.00
_symmetry_space_group_name_H-M 'P n m a'
_symmetry_Int_Tables_number 62
loop_
_symmetry_equiv_pos_as_xyz
'x,y,z'
'-x,-y,-z'
'-x+1/2,-y,z+1/2'
'x+1/2,y,-z+1/2'
'x+1/2,-y+1/2,-z+1/2'
'-x+1/2,y+1/2,z+1/2'
'-x,y+1/2,-z'
'x,-y+1/2,z'
loop_
_atom_site_label
_atom_site_fract_x
_atom_site_fract_y
_atom_site_fract_z
Tb1 0.101 0.250 0.041
Sc1 0.000 0.000 0.500
S1 0.046 0.750 0.357
S2 0.185 0.570 0.824
# Raw formation energy = -1996.2 meV/atom
# Energy = -33.32 eV per formula unit

=====

# 2
# GGA-PBE Tb4ScS7, optimized geometry
data_Tb4ScS7
_chemical_formula_sum 'Tb8 Sc2 S14'
_cell_length_a 12.708
_cell_length_b 3.790
_cell_length_c 11.532
_cell_angle_alpha 90.00
_cell_angle_beta 104.84
_cell_angle_gamma 90.00
_symmetry_space_group_name_H-M 'C 1 m 1'
_symmetry_Int_Tables_number 8
loop_
_symmetry_equiv_pos_as_xyz
'x,y,z'
'x,-y,z'
'x+1/2,y+1/2,z'
'x+1/2,-y+1/2,z'
loop_
_atom_site_label
_atom_site_fract_x
_atom_site_fract_y
_atom_site_fract_z
Tb1 0.000 0.000 0.000
Tb2 0.087 0.500 0.374
Tb3 0.190 0.000 0.764
Tb4 0.388 0.500 0.568
Sc1 0.278 0.500 0.149
S1 0.048 0.500 0.623
S2 0.133 0.500 0.932
S3 0.158 0.000 0.218
S4 0.227 0.000 0.519
S5 0.350 0.500 0.787
S6 0.383 0.000 0.078
S7 0.425 0.500 0.348
# Raw formation energy = -2049.2 meV/atom
# Energy = -78.33 eV per formula unit

=====

# 3
# GGA-PBE TbSc2S, optimized geometry
data_TbSc2S
_chemical_formula_sum 'Tb3 Sc6 S3'
_cell_length_a 3.4847
_cell_length_b 3.4847
_cell_length_c 28.2692
_cell_angle_alpha 90.00
_cell_angle_beta 90.00
_cell_angle_gamma 120.00
_symmetry_space_group_name_H-M 'R -3 m'
_symmetry_Int_Tables_number 166
_symmetry_space_group_name_Hall '-R 3 2"'
loop_
_atom_site_label
_atom_site_fract_x
_atom_site_fract_y
_atom_site_fract_z
Tb1 0.0000 0.0000 0.0000
Sc1 0.0000 0.0000 0.1137
S1 0.0000 0.0000 0.5000
# E above lowest polymorph = 193.7 meV/atom
# Raw formation energy = -710.7 meV/atom
# Energy = -24.26 eV per formula unit

=====

# 4
# GGA-PBE Tb4ScS4, optimized geometry
data_Tb4ScS4
_chemical_formula_sum 'Tb8 Sc2 S8'
_cell_length_a 8.555
_cell_length_b 8.555
_cell_length_c 5.513
_cell_angle_alpha 90.00
_cell_angle_beta 90.00
_cell_angle_gamma 90.00
_symmetry_space_group_name_H-M 'I 4/m'
_symmetry_Int_Tables_number 87
_symmetry_space_group_name_Hall '-I 4'
loop_
_atom_site_label
_atom_site_fract_x
_atom_site_fract_y
_atom_site_fract_z
Tb1 0.099 0.701 0.000
Sc1 0.000 0.000 0.500
S1 0.095 0.708 0.500
# Raw formation energy = -1739.2 meV/atom
# Energy = -57.02 eV per formula unit

=====

# 5
# GGA-PBE TbScS3, optimized geometry
data_TbScS3
_chemical_formula_sum 'Tb2 Sc2 S6'
_cell_length_a 7.447
_cell_length_b 3.786
_cell_length_c 7.659
_cell_angle_alpha 90.00
_cell_angle_beta 95.89
_cell_angle_gamma 90.00
_symmetry_space_group_name_H-M 'P 1 21/m 1'
_symmetry_Int_Tables_number 11
loop_
_symmetry_equiv_pos_as_xyz
'x,y,z'
'-x,-y,-z'
'-x,y+1/2,-z'
'x,-y+1/2,z'
loop_
_atom_site_label
_atom_site_fract_x
_atom_site_fract_y
_atom_site_fract_z
Tb1 0.126 0.250 0.273
Sc1 0.351 0.750 0.828
S1 0.126 0.250 0.889
S2 0.192 0.750 0.530
S3 0.407 0.750 0.177
# Raw formation energy = -1975.9 meV/atom
# Energy = -33.22 eV per formula unit

=====

# 6
# GGA-PBE TbSc6S8, optimized geometry
data_TbSc6S8
_chemical_formula_sum 'Tb3 Sc18 S24'
_cell_length_a 10.0748
_cell_length_b 10.0748
_cell_length_c 11.5688
_cell_angle_alpha 90.00
_cell_angle_beta 90.00
_cell_angle_gamma 120.00
_symmetry_space_group_name_H-M 'R -3'
_symmetry_Int_Tables_number 148
_symmetry_space_group_name_Hall '-R 3'
loop_
_atom_site_label
_atom_site_fract_x
_atom_site_fract_y
_atom_site_fract_z
Tb1 0.0000 0.0000 0.0000
Sc1 0.0152 0.8201 0.3853
S1 0.0000 0.0000 0.2348
S2 0.0193 0.6246 0.2560
# E above lowest polymorph = 293.7 meV/atom
# Raw formation energy = -1629.6 meV/atom
# Energy = -100.08 eV per formula unit

=====

# 7
# GGA-PBE Tb3Sc2S7, optimized geometry
data_Tb3Sc2S7
_chemical_formula_sum 'Tb6 Sc4 S14'
_cell_length_a 12.452
_cell_length_b 3.758
_cell_length_c 11.420
_cell_angle_alpha 90.00
_cell_angle_beta 105.30
_cell_angle_gamma 90.00
_symmetry_space_group_name_H-M 'C 1 2/m 1'
_symmetry_Int_Tables_number 12
loop_
_symmetry_equiv_pos_as_xyz
'x,y,z'
'-x,-y,-z'
'-x,y,-z'
'x,-y,z'
'x+1/2,y+1/2,z'
'-x+1/2,-y+1/2,-z'
'-x+1/2,y+1/2,-z'
'x+1/2,-y+1/2,z'
loop_
_atom_site_label
_atom_site_fract_x
_atom_site_fract_y
_atom_site_fract_z
Tb1 0.000 0.000 0.000
Tb2 0.196 0.500 0.797
Sc1 0.111 0.000 0.429
S1 0.000 0.500 0.500
S2 0.032 0.000 0.776
S3 0.163 0.500 0.054
S4 0.236 0.500 0.363
# Raw formation energy = -2021.9 meV/atom
# Energy = -79.71 eV per formula unit

=====

# 8
# GGA-PBE Tb2ScS4, optimized geometry
data_Tb2ScS4
_chemical_formula_sum 'Tb4 Sc2 S8'
_cell_length_a 6.989
_cell_length_b 10.964
_cell_length_c 3.947
_cell_angle_alpha 90.00
_cell_angle_beta 90.00
_cell_angle_gamma 90.00
_symmetry_space_group_name_H-M 'P b a m'
_symmetry_Int_Tables_number 55
loop_
_symmetry_equiv_pos_as_xyz
'x,y,z'
'-x,-y,-z'
'-x,-y,z'
'x,y,-z'
'x+1/2,-y+1/2,-z'
'-x+1/2,y+1/2,z'
'-x+1/2,y+1/2,-z'
'x+1/2,-y+1/2,z'
loop_
_atom_site_label
_atom_site_fract_x
_atom_site_fract_y
_atom_site_fract_z
Tb1 0.106 0.186 0.000
Sc1 0.000 0.500 0.500
S1 0.122 0.717 0.500
S2 0.240 0.450 0.000
# E above lowest polymorph = 0.0 meV/atom
# Raw formation energy = -1994.8 meV/atom
# Energy = -46.07 eV per formula unit

=====

# 9
# GGA-PBE Tb3Th4ScS8, optimized geometry
data_Tb3Th4ScS8
_chemical_formula_sum 'Tb9 Th12 Sc3 S24'
_cell_length_a 7.7839
_cell_length_b 7.7839
_cell_length_c 20.0642
_cell_angle_alpha 90.00
_cell_angle_beta 90.00
_cell_angle_gamma 120.00
_symmetry_space_group_name_H-M 'R -3 m'
_symmetry_Int_Tables_number 166
_symmetry_space_group_name_Hall '-R 3 2"'
loop_
_atom_site_label
_atom_site_fract_x
_atom_site_fract_y
_atom_site_fract_z
Tb1 0.0000 0.5000 0.0000
Th1 0.0000 0.0000 0.5000
Th2 0.0000 0.5000 0.5000
Sc1 0.0000 0.0000 0.0000
S1 0.0000 0.0000 0.2548
S2 0.0085 0.5042 0.7434
# Raw formation energy = -1893.5 meV/atom
# Energy = -113.22 eV per formula unit

=====

# 10
# GGA-PBE Tb2ThScS4, optimized geometry
data_Tb2ThScS4
_chemical_formula_sum 'Tb2 Th1 Sc1 S4'
_cell_length_a 6.753
_cell_length_b 3.883
_cell_length_c 6.832
_cell_angle_alpha 90.00
_cell_angle_beta 109.11
_cell_angle_gamma 90.00
_symmetry_space_group_name_H-M 'P 1 2/m 1'
_symmetry_Int_Tables_number 10
loop_
_symmetry_equiv_pos_as_xyz
'x,y,z'
'-x,-y,-z'
'-x,y,-z'
'x,-y,z'
loop_
_atom_site_label
_atom_site_fract_x
_atom_site_fract_y
_atom_site_fract_z
Tb1 0.000 0.000 0.000
Tb2 0.000 0.500 0.500
Th1 0.500 0.000 0.500
Sc1 0.500 0.500 0.000
S1 0.248 0.500 0.235
S2 0.258 0.000 0.766
# Raw formation energy = -1890.3 meV/atom
# Energy = -54.64 eV per formula unit

=====

# 11
# GGA-PBE Tb2Th3ScS6, optimized geometry
data_Tb2Th3ScS6
_chemical_formula_sum 'Tb4 Th6 Sc2 S12'
_cell_length_a 17.520
_cell_length_b 3.892
_cell_length_c 8.030
_cell_angle_alpha 90.00
_cell_angle_beta 107.16
_cell_angle_gamma 90.00
_symmetry_space_group_name_H-M 'C 1 2/m 1'
_symmetry_Int_Tables_number 12
loop_
_symmetry_equiv_pos_as_xyz
'x,y,z'
'-x,-y,-z'
'-x,y,-z'
'x,-y,z'
'x+1/2,y+1/2,z'
'-x+1/2,-y+1/2,-z'
'-x+1/2,y+1/2,-z'
'x+1/2,-y+1/2,z'
loop_
_atom_site_label
_atom_site_fract_x
_atom_site_fract_y
_atom_site_fract_z
Tb1 0.165 0.000 0.331
Th1 0.000 0.500 0.500
Th2 0.168 0.000 0.833
Sc1 0.000 0.500 0.000
S1 0.002 0.000 0.229
S2 0.158 0.500 0.087
S3 0.171 0.500 0.574
# Raw formation energy = -1873.0 meV/atom
# Energy = -85.09 eV per formula unit

=====

# 12
# GGA-PBE Tb3ScTl2S, optimized geometry
data_Tb3ScTl2S
_chemical_formula_sum 'Tb6 Sc2 Tl4 S2'
_cell_length_a 4.803
_cell_length_b 5.057
_cell_length_c 16.074
_cell_angle_alpha 90.00
_cell_angle_beta 90.00
_cell_angle_gamma 90.00
_symmetry_space_group_name_H-M 'I m m m'
_symmetry_Int_Tables_number 71
_symmetry_space_group_name_Hall '-I 2 2'
loop_
_atom_site_label
_atom_site_fract_x
_atom_site_fract_y
_atom_site_fract_z
Tb1 0.000 0.000 0.000
Tb2 0.000 0.500 0.171
Sc1 0.000 0.000 0.500
Tl1 0.000 0.500 0.367
S1 0.000 0.500 0.000
# Raw formation energy = -698.6 meV/atom
# Energy = -33.97 eV per formula unit